## Ta3WO (PBE+U)

Data for a relaxed Ta3WO crystal.

The space group is Pm-3m (No. 221) and the conventional cell measures 4.276, 4.276 and 4.276 Å, with angles of 90.00, 90.00 and 90.00 degrees. Symmetry generates all atoms from Ta at (0.000, 0.000, 0.500), W at (0.500, 0.500, 0.500) and O at (0.000, 0.000, 0.000).

For the energy above the most stable polymorph in this dataset, the calculation gives 0 meV per atom. For the size of the total moment, the calculation gives 0.00 μB per formula unit. The value obtained for the mass density is 15.8 g/cm3.